Density functional theory data (GGA-PBE) for a geometry-optimized SrPdAu2 structure.

Cell lengths 4.3735, 4.3745, 4.3745 Å; angles 90.00, 90.00, 90.00 degrees
Fractional positions:
Pd 0.5000 0.5000 0.5000
Au 0.0000 0.0000 0.5000
Au 0.0000 0.5000 0.0000
Sr 0.5000 0.0000 0.0000

Results
Crystal system: tetragonal
Formation energy from the elements: -443 meV per atom
E: -3.80 eV/atom
Mass density: 11666 kg/m³
Size of the total moment: 0.000 μB per cell
Space-group type: No. 123
Excess energy over the best structure of this formula in the dataset: 148 meV/atom

Density functional theory data (GGA-PBE) for a geometry-optimized DyLuP2 structure.

Cell lengths 3.9635, 3.9635, 6.8573 Å; angles 73.20, 73.20, 60.00 degrees
Fractional positions:
P 0.2519 0.2519 0.2443
P 0.7481 0.7481 0.7557
Dy 0.5000 0.5000 0.5000
Lu 0.0000 0.0000 0.0000

Results
Crystal system: trigonal
Formation energy from the elements: -1599 meV per atom
E: -6.58 eV/atom
Mass density: 7541 kg/m³
Size of the total moment: 0.000 μB per cell
Space-group type: No. 166

Density functional theory data (GGA-PBE) for a geometry-optimized Nd4Ho2In structure.

Cell lengths 6.1178, 6.2122, 6.9815 Å; angles 116.42, 90.00, 90.00 degrees
Fractional positions:
In 0.0000 0.5000 0.0000
Ho 0.5000 0.8819 0.7637
Ho 0.5000 0.1181 0.2363
Nd 0.5000 0.6336 0.2672
Nd 0.5000 0.3664 0.7328
Nd 0.0000 0.1686 0.3372
Nd 0.0000 0.8314 0.6628

Results
Crystal system: orthorhombic
Formation energy from the elements: 389 meV per atom
E: -4.03 eV/atom
Mass density: 7139 kg/m³
Size of the total moment: 0.000 μB per cell
Space-group type: No. 65

Density functional theory data (GGA-PBE) for a geometry-optimized AcAlPt structure.

Cell lengths 4.4442, 4.4449, 4.4449 Å; angles 120.00, 90.00, 90.00 degrees
Fractional positions:
Pt 0.1667 0.0000 0.0000
Al 0.1667 0.3333 0.6667
Ac 0.6666 0.6667 0.3333

Results
Crystal system: hexagonal
Formation energy from the elements: -938 meV per atom
E: -5.57 eV/atom
Mass density: 9806 kg/m³
Size of the total moment: 0.000 μB per cell
Space-group type: No. 187
Excess energy over the best structure of this formula in the dataset: 83 meV/atom

Density functional theory data (GGA-PBE) for a geometry-optimized Tb3PrTh3 structure.

Cell lengths 5.8878, 9.5365, 9.5365 Å; angles 120.00, 90.00, 90.00 degrees
Fractional positions:
Pr 0.2500 0.3333 0.6667
Pr 0.7500 0.6667 0.3333
Th 0.7500 0.5149 0.8990
Th 0.2500 0.8990 0.3841
Th 0.7500 0.1010 0.6159
Th 0.7500 0.3841 0.4851
Th 0.2500 0.6159 0.5149
Th 0.2500 0.4851 0.1010
Tb 0.2500 0.7614 0.9572
Tb 0.7500 0.2386 0.0428
Tb 0.7500 0.8042 0.7614
Tb 0.7500 0.9572 0.1958
Tb 0.2500 0.0428 0.8042
Tb 0.2500 0.1958 0.2386

Results
Crystal system: hexagonal
Formation energy from the elements: 77 meV per atom
E: -5.77 eV/atom
Mass density: 9409 kg/m³
Size of the total moment: 0.000 μB per cell
Space-group type: No. 176

Density functional theory data (GGA-PBE) for a geometry-optimized Sc3Cr structure.

Cell lengths 3.2763, 3.2763, 7.9607 Å; angles 90.00, 90.00, 90.03 degrees
Site moments in Bohr magnetons follow the coordinates.
Fractional positions:
Sc 0.0000 0.0000 0.5000  0.26
Sc 0.5000 0.5000 0.7949  -0.06
Sc 0.5000 0.5000 0.2051  -0.06
Cr 0.0000 0.0000 0.0000  2.47

Results
Crystal system: tetragonal
Formation energy from the elements: 173 meV per atom
E: -6.98 eV/atom
Mass density: 3631 kg/m³
Size of the total moment: 2.941 μB per cell
Space-group type: No. 123

Density functional theory data (GGA-PBE) for a geometry-optimized CeNdHo2Sb4 structure.

Cell lengths 4.4409, 7.6791, 7.6961 Å; angles 70.57, 90.00, 90.00 degrees
Site moments in Bohr magnetons follow the coordinates.
Fractional positions:
Ho 0.0000 0.0000 0.0000  0.00
Ho 0.5000 0.0000 0.5000  0.00
Nd 0.5000 0.5000 0.0000  0.01
Sb 0.0000 0.7588 0.7451  -0.01
Sb 0.5000 0.7582 0.2486  -0.01
Sb 0.5000 0.2418 0.7514  -0.01
Sb 0.0000 0.2412 0.2549  -0.01
Ce 0.0000 0.5000 0.5000  0.70

Results
Crystal system: monoclinic
E: -5.66 eV/atom
Mass density: 7388 kg/m³
Size of the total moment: 0.734 μB per cell
Space-group type: No. 10

Density functional theory data (GGA-PBE) for a geometry-optimized TbPm2Dy7 structure.

Cell lengths 6.1689, 10.6796, 7.9734 Å; angles 107.40, 105.00, 39.74 degrees
Fractional positions:
Dy 0.2011 0.3996 0.1985
Dy 0.7989 0.6004 0.8015
Dy 0.2990 0.1007 0.8012
Dy 0.1003 0.6999 0.6008
Dy 0.8997 0.3001 0.3992
Dy 0.5000 0.5000 0.0000
Dy 0.7010 0.8993 0.1988
Pm 0.4023 0.7989 0.3991
Pm 0.5977 0.2011 0.6009
Tb 0.0000 0.0000 0.0000

Results
Crystal system: triclinic
Formation energy from the elements: 17 meV per atom
E: -4.62 eV/atom
Mass density: 8230 kg/m³
Size of the total moment: 0.000 μB per cell
Space-group type: No. 2
Excess energy over the best structure of this formula in the dataset: 0 meV/atom

Density functional theory data (GGA-PBE) for a geometry-optimized CsPuCdI6 structure.

Cell lengths 8.0065, 8.0065, 17.1240 Å; angles 90.00, 90.00, 120.00 degrees
Site moments in Bohr magnetons follow the coordinates.
Fractional positions:
Pu 0.3333 0.6667 0.2500  5.13
Pu 0.6667 0.3333 0.7500  5.13
I 0.3764 0.0068 0.1472  -0.03
I 0.6304 0.6236 0.1472  -0.03
I 0.9932 0.6236 0.3528  -0.03
I 0.6236 0.6304 0.6472  -0.03
I 0.6236 0.9932 0.8528  -0.03
I 0.9932 0.3696 0.1472  -0.03
I 0.0068 0.3764 0.6472  -0.03
I 0.3696 0.9932 0.6472  -0.03
I 0.3764 0.3696 0.3528  -0.03
I 0.0068 0.6304 0.8528  -0.03
I 0.3696 0.3764 0.8528  -0.03
I 0.6304 0.0068 0.3528  -0.03
Cs 0.0000 0.0000 0.5000  0.00
Cs 0.0000 0.0000 0.0000  0.00
Cd 0.6667 0.3333 0.2500  0.01
Cd 0.3333 0.6667 0.7500  0.01

Results
Crystal system: trigonal
E: -3.82 eV/atom
Mass density: 4369 kg/m³
Size of the total moment: 10.000 μB per cell
Space-group type: No. 163

Density functional theory data (GGA-PBE) for a geometry-optimized Sm5Pb2Se2 structure.

Cell lengths 8.2523, 8.6745, 8.6745 Å; angles 123.86, 90.00, 90.00 degrees
Fractional positions:
Sm 0.3390 0.9659 0.7131
Sm 0.8390 0.5341 0.7869
Sm 0.1610 0.2131 0.4659
Sm 0.0000 0.0000 0.0000
Sm 0.6610 0.0341 0.2869
Sm 0.6610 0.2869 0.0341
Sm 0.5000 0.5000 0.5000
Sm 0.3390 0.7131 0.9659
Sm 0.8390 0.7869 0.5341
Sm 0.1610 0.4659 0.2131
Pb 0.5000 0.7061 0.2939
Pb 0.0000 0.2061 0.7939
Pb 0.0000 0.7939 0.2061
Pb 0.5000 0.2939 0.7061
Se 0.6433 0.8581 0.8581
Se 0.3567 0.1419 0.1419
Se 0.1433 0.6419 0.6419
Se 0.8567 0.3581 0.3581

Results
Crystal system: orthorhombic
E: -5.19 eV/atom
Mass density: 8528 kg/m³
Size of the total moment: 0.000 μB per cell
Space-group type: No. 64

Density functional theory data (GGA-PBE) for a geometry-optimized Ac5Ga structure.

Cell lengths 5.2972, 5.3546, 8.7202 Å; angles 107.88, 90.00, 90.00 degrees
Fractional positions:
Ac 0.5000 0.5000 0.0000
Ac 0.0000 0.6619 0.3238
Ac 0.5000 0.8428 0.6856
Ac 0.5000 0.1572 0.3144
Ac 0.0000 0.3381 0.6762
Ga 0.0000 0.0000 0.0000

Results
Crystal system: orthorhombic
Formation energy from the elements: -33 meV per atom
E: -3.96 eV/atom
Mass density: 8498 kg/m³
Size of the total moment: 0.000 μB per cell
Space-group type: No. 65
Excess energy over the best structure of this formula in the dataset: 4 meV/atom

Density functional theory data (GGA-PBE) for a geometry-optimized CsBaB3 structure.

Cell lengths 5.4643, 5.4643, 5.4643 Å; angles 90.00, 90.00, 90.00 degrees
Fractional positions:
B 0.5000 0.0000 0.0000
B 0.0000 0.5000 0.0000
B 0.0000 0.0000 0.5000
Ba 0.0000 0.0000 0.0000
Cs 0.5000 0.5000 0.5000

Results
Crystal system: cubic
Formation energy from the elements: 2338 meV per atom
E: -2.22 eV/atom
Mass density: 3080 kg/m³
Size of the total moment: 0.000 μB per cell
Space-group type: No. 221
Excess energy over the best structure of this formula in the dataset: 0 meV/atom

Density functional theory data (GGA-PBE) for a geometry-optimized PrEr2 structure.

Cell lengths 6.6623, 6.6623, 6.6623 Å; angles 60.00, 60.00, 60.00 degrees
Site moments in Bohr magnetons follow the coordinates.
Fractional positions:
Er 0.6250 0.1250 0.6250  0.45
Er 0.6250 0.6250 0.1250  0.45
Er 0.1250 0.6250 0.6250  0.45
Er 0.6250 0.6250 0.6250  0.45
Pr 0.2500 0.2500 0.2500  0.49
Pr 0.0000 0.0000 0.0000  0.49

Results
Crystal system: cubic
Formation energy from the elements: 280 meV per atom
E: -4.36 eV/atom
Mass density: 7551 kg/m³
Size of the total moment: 4.844 μB per cell
Space-group type: No. 227
Excess energy over the best structure of this formula in the dataset: 284 meV/atom

Density functional theory data (GGA-PBE) for a geometry-optimized Zr2ReHgAs structure.

Cell lengths 5.0299, 5.1597, 5.0299 Å; angles 90.00, 90.00, 90.00 degrees
Fractional positions:
Hg 0.0000 0.5000 0.0000
As 0.5000 0.5000 0.5000
Zr 0.5000 0.0000 0.0000
Zr 0.0000 0.0000 0.5000
Re 0.0000 0.0000 0.0000

Results
Crystal system: tetragonal
Formation energy from the elements: 688 meV per atom
E: -6.21 eV/atom
Mass density: 8194 kg/m³
Size of the total moment: 0.000 μB per cell
Space-group type: No. 123

Density functional theory data (GGA-PBE) for a geometry-optimized HfBeSi structure.

Cell lengths 3.5696, 3.7099, 3.7099 Å; angles 120.00, 90.00, 90.00 degrees
Fractional positions:
Be 0.1670 0.6667 0.3333
Hf 0.6666 0.3333 0.6667
Si 0.1665 0.0000 0.0000

Results
Crystal system: hexagonal
E: -7.03 eV/atom
Mass density: 8414 kg/m³
Size of the total moment: 0.000 μB per cell
Space-group type: No. 187
Excess energy over the best structure of this formula in the dataset: 0 meV/atom

Density functional theory data (GGA-PBE) for a geometry-optimized B2C structure.

Cell lengths 4.6687, 4.6687, 7.9346 Å; angles 63.04, 63.04, 33.99 degrees
Fractional positions:
C 0.9290 0.9290 0.7384
C 0.5796 0.5796 0.9108
C 0.0710 0.0710 0.2616
C 0.4204 0.4204 0.0892
B 0.4532 0.4532 0.6221
B 0.2461 0.2461 0.0922
B 0.9113 0.9113 0.2254
B 0.2991 0.2991 0.5286
B 0.7009 0.7009 0.4714
B 0.7539 0.7539 0.9078
B 0.5468 0.5468 0.3779
B 0.0887 0.0887 0.7746

Results
Crystal system: monoclinic
Formation energy from the elements: 420 meV per atom
E: -7.11 eV/atom
Mass density: 2624 kg/m³
Size of the total moment: 0.000 μB per cell
Space-group type: No. 12
Excess energy over the best structure of this formula in the dataset: 235 meV/atom